TbSm2F11 PBE optimized geometry; space group = Ibam; ΔE_f (raw) = -3.43 eV per atom; spin magnetization = 4.2 Bohr magnetons per cell; N(E_F) = 0.84 states/eV/atom; DFT total energy = -5.90 eV/atom
1.0
-4.291 5.193 5.653
4.291 -5.193 5.653
4.291 5.193 -5.653
Tb Sm F
2 4 22
Cartesian
0.000 0.000 2.826
0.000 0.000 8.479
5.682 1.976 0.000
1.391 3.217 0.000
2.900 1.976 5.653
-1.391 3.217 5.653
4.291 0.000 0.000
5.158 -3.434 4.008
1.717 -0.774 1.515
5.158 3.434 -1.644
3.368 1.974 0.000
6.865 0.774 1.515
2.574 4.419 -1.515
3.368 -1.974 5.653
0.866 1.758 1.644
1.717 0.774 4.137
5.158 3.434 1.644
0.000 5.193 0.000
-0.866 1.758 4.008
2.574 4.419 1.515
3.425 3.434 4.008
0.923 7.166 0.000
1.717 0.774 7.168
-2.574 4.419 4.137
0.923 3.219 5.653
-0.866 1.758 7.297
2.574 5.967 4.137
-0.866 8.627 1.644